Computed, not measured: a relaxed CuMo2O6 crystal at the PBE+U level of DFT.

Unit cell a=5.264 b=5.264 c=6.331 alpha=110.14 beta=110.14 gamma=44.20
Fractional coordinates of all 9 atoms:
Cu (0.000, 0.000, 0.000)
Mo (0.184, 0.184, 0.644)
Mo (0.816, 0.816, 0.356)
O (0.008, 0.008, 0.706)
O (0.304, 0.304, 0.426)
O (0.336, 0.336, 0.902)
O (0.664, 0.664, 0.098)
O (0.696, 0.696, 0.574)
O (0.992, 0.992, 0.294)

Summary:
* E_tot: -59.8 eV for the cell shown
* relative energy among the computed polymorphs: 0.00 kJ/mol of atoms